## TeRu2O (PBE)

Data for a geometry-optimized TeRu2O structure.

Space-group type: No. 225
VASP energy (eV/atom): -6.34
Energy relative to the elements, uncorrected (eV per atom): 0.325

abc: 4.314 4.314 4.314
angles: 60.00 60.00 60.00
Fractional positions:
Ru: 0.250 0.250 0.250
Ru: 0.750 0.750 0.750
Te: 0.500 0.500 0.500
O: 0.000 0.000 0.000

=====

## TeRu3O (PBE)

Data for a geometry-optimized TeRu3O structure.

Space-group type: No. 221
VASP energy (eV/atom): -5.13
Energy relative to the elements, uncorrected (eV per atom): 2.056

abc: 4.870 4.870 4.870
angles: 90.00 90.00 90.00
Fractional positions:
Ru: 0.000 0.500 0.000
Ru: 0.000 0.000 0.500
Ru: 0.500 0.000 0.000
Te: 0.000 0.000 0.000
O: 0.500 0.500 0.500

=====

## TeRu2O (PBE)

Data for a geometry-optimized TeRu2O structure.

Space-group type: No. 122
VASP energy (eV/atom): -6.68
Energy relative to the elements, uncorrected (eV per atom): -0.013

abc: 4.598 4.598 7.263
angles: 71.55 71.55 90.00
Fractional positions:
Ru: 0.497 0.125 0.250
Ru: 0.253 0.625 0.250
Ru: 0.375 0.503 0.750
Ru: 0.875 0.747 0.750
Te: 0.000 0.000 0.000
Te: 0.750 0.250 0.500
O: 0.500 0.500 0.000
O: 0.250 0.750 0.500

=====

## TeRuO3 (PBE)

Data for a geometry-optimized TeRuO3 structure.

Space-group type: No. 221
VASP energy (eV/atom): -5.72
Energy relative to the elements, uncorrected (eV per atom): -0.264

abc: 3.941 3.941 3.941
angles: 90.00 90.00 90.00
Fractional positions:
Ru: 0.000 0.000 0.000
Te: 0.500 0.500 0.500
O: 0.000 0.500 0.000
O: 0.000 0.000 0.500
O: 0.500 0.000 0.000

=====

## TeRu3O (PBE)

Data for a geometry-optimized TeRu3O structure.

Space-group type: No. 221
VASP energy (eV/atom): -6.76
Energy relative to the elements, uncorrected (eV per atom): 0.423

abc: 4.181 4.181 4.181
angles: 90.00 90.00 90.00
Fractional positions:
Ru: 0.000 0.500 0.000
Ru: 0.000 0.000 0.500
Ru: 0.500 0.000 0.000
Te: 0.500 0.500 0.500
O: 0.000 0.000 0.000

=====

## TeRu2O2 (PBE)

Data for a geometry-optimized TeRu2O2 structure.

Space-group type: No. 139
VASP energy (eV/atom): -6.34
Energy relative to the elements, uncorrected (eV per atom): -0.020

abc: 3.608 3.608 5.751
angles: 71.72 71.72 90.00
Fractional positions:
Ru: 0.370 0.370 0.261
Ru: 0.630 0.630 0.739
Te: 0.000 0.000 0.000
O: 0.750 0.250 0.500
O: 0.250 0.750 0.500

=====

## Tl2TeRuO6 (PBE)

Data for a geometry-optimized Tl2TeRuO6 structure.

Space-group type: No. 166
VASP energy (eV/atom): -5.47
Energy relative to the elements, uncorrected (eV per atom): -0.776

abc: 6.054 6.054 10.450
angles: 73.16 73.16 60.00
Fractional positions:
Tl: 0.872 0.872 0.383
Tl: 0.128 0.128 0.617
Tl: 0.722 0.722 0.834
Tl: 0.278 0.278 0.166
Te: 0.000 0.000 0.000
Te: 0.500 0.500 0.500
Ru: 0.594 0.594 0.217
Ru: 0.406 0.406 0.783
O: 0.828 0.402 0.368
O: 0.402 0.828 0.368
O: 0.402 0.402 0.368
O: 0.172 0.598 0.632
O: 0.598 0.172 0.632
O: 0.598 0.598 0.632
O: 0.701 0.212 0.876
O: 0.212 0.701 0.876
O: 0.212 0.212 0.876
O: 0.299 0.788 0.124
O: 0.788 0.299 0.124
O: 0.788 0.788 0.124

=====

## TlTeRuO6 (PBE)

Data for a geometry-optimized TlTeRuO6 structure.

Space-group type: No. 149
VASP energy (eV/atom): -5.85
Energy relative to the elements, uncorrected (eV per atom): -0.906

abc: 5.300 5.300 6.027
angles: 90.00 90.00 60.00
Fractional positions:
Tl: 0.000 0.000 0.000
Te: 0.333 0.333 0.500
Ru: 0.667 0.667 0.500
O: 0.999 0.386 0.316
O: 0.386 0.999 0.684
O: 0.614 0.386 0.684
O: 0.999 0.614 0.684
O: 0.386 0.614 0.316
O: 0.614 0.999 0.316

=====

## TlTe2RuO8 (PBE)

Data for a geometry-optimized TlTe2RuO8 structure.

Space-group type: No. 2
VASP energy (eV/atom): -5.63
Energy relative to the elements, uncorrected (eV per atom): -0.833

abc: 4.969 4.960 6.824
angles: 91.70 91.74 86.98
Fractional positions:
Tl: 0.000 0.000 0.500
Te: 0.524 0.524 0.755
Te: 0.476 0.476 0.245
Ru: 0.000 0.000 0.000
O: 0.159 0.781 0.221
O: 0.727 0.730 0.956
O: 0.784 0.162 0.221
O: 0.841 0.219 0.779
O: 0.273 0.270 0.044
O: 0.216 0.838 0.779
O: 0.676 0.678 0.531
O: 0.324 0.322 0.469

=====

Number 4 is which compound? TeRuO3

=====

Which formula does entry 7 have? Tl2TeRuO6

=====

Among the records above, which one has the highest VASP energy? number 2

=====

Among the records above, which one has the highest VASP energy? number 2